Entry 1:
# Rb3Sc3TaSe8, relaxed, DFT PBE
data_Rb3Sc3TaSe8
_chemical_formula_sum 'Rb9 Sc9 Ta3 Se24'
_cell_length_a 7.8226
_cell_length_b 7.8226
_cell_length_c 24.4502
_cell_angle_alpha 90.00
_cell_angle_beta 90.00
_cell_angle_gamma 120.00
_space_group_name_H-M_alt 'R -3 m'
_space_group_IT_number 166
_space_group_name_Hall '-R 3 2"'
loop_
_atom_site_label
_atom_site_fract_x
_atom_site_fract_y
_atom_site_fract_z
Rb1 0.0000 0.5000 0.0000
Sc1 0.0000 0.5000 0.5000
Ta1 0.0000 0.0000 0.5000
Se1 0.0000 0.0000 0.2290
Se2 0.0094 0.5047 0.2280
# Formation energy from raw total energies = -1.405 eV per atom
# DOS(E_F) = 11.675 states/eV per cell

Entry 2:
# LiLa2IrPb, relaxed, DFT PBE
data_LiLa2IrPb
_chemical_formula_sum 'Li1 La2 Ir1 Pb1'
_cell_length_a 5.5355
_cell_length_b 5.5355
_cell_length_c 4.8361
_cell_angle_alpha 90.00
_cell_angle_beta 90.00
_cell_angle_gamma 90.00
_space_group_name_H-M_alt 'P 4/m m m'
_space_group_IT_number 123
_space_group_name_Hall '-P 4 2'
loop_
_atom_site_label
_atom_site_fract_x
_atom_site_fract_y
_atom_site_fract_z
Li1 0.0000 0.0000 0.0000
La1 0.0000 0.5000 0.5000
Ir1 0.0000 0.0000 0.5000
Pb1 0.5000 0.5000 0.0000
# DOS(E_F) = 1.871 states/eV per cell
# DFT formation energy = -222.0 kJ/mol of formula units

Entry 3:
# Tl12Sb3Au5, relaxed, DFT PBE
data_Tl12Sb3Au5
_chemical_formula_sum 'Tl96 Sb24 Au40'
_cell_length_a 17.6334
_cell_length_b 17.6334
_cell_length_c 17.6334
_cell_angle_alpha 90.00
_cell_angle_beta 90.00
_cell_angle_gamma 90.00
_space_group_name_H-M_alt 'I a -3 d'
_space_group_IT_number 230
_space_group_name_Hall '-I 4bd 2c 3'
loop_
_atom_site_label
_atom_site_fract_x
_atom_site_fract_y
_atom_site_fract_z
Tl1 0.0205 0.0676 0.6504
Sb1 0.0000 0.2500 0.1250
Au1 0.0000 0.0000 0.0000
Au2 0.0000 0.2500 0.3750
# Formation energy from raw total energies = 0.052 eV per atom
# DOS(E_F) = 38.603 states/eV per cell

Entry 4:
# PrErGa2, relaxed, DFT PBE
data_PrErGa2
_chemical_formula_sum 'Pr1 Er1 Ga2'
_cell_length_a 3.6357
_cell_length_b 3.6357
_cell_length_c 7.2382
_cell_angle_alpha 90.00
_cell_angle_beta 90.00
_cell_angle_gamma 90.00
_space_group_name_H-M_alt 'P 4/m m m'
_space_group_IT_number 123
_space_group_name_Hall '-P 4 2'
loop_
_atom_site_label
_atom_site_fract_x
_atom_site_fract_y
_atom_site_fract_z
Pr1 0.0000 0.0000 0.0000
Er1 0.0000 0.0000 0.5000
Ga1 0.5000 0.5000 0.2707
# DOS(E_F) = 1.734 states/eV per cell
# DFT formation energy = -220.3 kJ/mol of formula units

Entry 5:
# La3SnC, relaxed, DFT PBE
data_La3SnC
_chemical_formula_sum 'La12 Sn4 C4'
_cell_length_a 6.4521
_cell_length_b 6.4521
_cell_length_c 14.9992
_cell_angle_alpha 90.00
_cell_angle_beta 90.00
_cell_angle_gamma 90.00
_space_group_name_H-M_alt 'I -4 m 2'
_space_group_IT_number 119
_space_group_name_Hall 'I -4 -2'
loop_
_atom_site_label
_atom_site_fract_x
_atom_site_fract_y
_atom_site_fract_z
La1 0.0000 0.0000 0.1971
La2 0.0000 0.2678 0.6016
Sn1 0.0000 0.5000 0.1368
C1 0.0000 0.0000 0.5000
C2 0.0000 0.5000 0.7500
# DOS(E_F) = 19.194 states/eV per cell
# DFT formation energy = 54.2 kJ/mol of formula units

Entry 6:
# NaBTe2S6, relaxed, DFT PBE
data_NaBTe2S6
_chemical_formula_sum 'Na4 B4 Te8 S24'
_cell_length_a 11.2553
_cell_length_b 13.8783
_cell_length_c 8.4522
_cell_angle_alpha 90.00
_cell_angle_beta 114.60
_cell_angle_gamma 90.00
_space_group_name_H-M_alt 'C 1 2/c 1'
_space_group_IT_number 15
_space_group_name_Hall '-C 2yc'
loop_
_atom_site_label
_atom_site_fract_x
_atom_site_fract_y
_atom_site_fract_z
Na1 0.0000 0.0939 0.2500
B1 0.0000 0.1819 0.7500
Te1 0.1166 0.3944 0.1255
S1 0.0103 0.2441 0.9567
S2 0.1262 0.0886 0.7515
S3 0.1373 0.4666 0.4764
# Formation energy from raw total energies = -0.074 eV per atom

Entry 7:
# Ac4OsSe2I, relaxed, DFT PBE
data_Ac4OsSe2I
_chemical_formula_sum 'Ac4 Os1 Se2 I1'
_cell_length_a 7.8531
_cell_length_b 4.4036
_cell_length_c 8.1873
_cell_angle_alpha 90.00
_cell_angle_beta 107.06
_cell_angle_gamma 90.00
_space_group_name_H-M_alt 'P 1 2/m 1'
_space_group_IT_number 10
_space_group_name_Hall '-P 2y'
loop_
_atom_site_label
_atom_site_fract_x
_atom_site_fract_y
_atom_site_fract_z
Ac1 0.2278 0.0000 0.2123
Ac2 0.2509 0.5000 0.7868
Os1 0.0000 0.5000 0.0000
Se1 0.5000 0.0000 0.0000
Se2 0.5000 0.5000 0.5000
I1 0.0000 0.0000 0.5000
# Formation energy from raw total energies = -1.095 eV per atom
# DOS(E_F) = 6.496 states/eV per cell

Entry 8:
# Ni5OsPt6, relaxed, DFT PBE
data_Ni5OsPt6
_chemical_formula_sum 'Ni10 Os2 Pt12'
_cell_length_a 3.8375
_cell_length_b 7.4231
_cell_length_c 11.5308
_cell_angle_alpha 90.00
_cell_angle_beta 90.00
_cell_angle_gamma 90.00
_space_group_name_H-M_alt 'I m m m'
_space_group_IT_number 71
_space_group_name_Hall '-I 2 2'
loop_
_atom_site_label
_atom_site_fract_x
_atom_site_fract_y
_atom_site_fract_z
Ni1 0.0000 0.0000 0.0000
Ni2 0.0000 0.0000 0.3391
Ni3 0.0000 0.5000 0.3317
Os1 0.0000 0.5000 0.0000
Pt1 0.0000 0.2475 0.1675
Pt2 0.0000 0.2560 0.5000
# DOS(E_F) = 39.205 states/eV per cell
# DFT formation energy = -47.4 kJ/mol of formula units

Entry 9:
# TmHfSc2S6, relaxed, DFT PBE
data_TmHfSc2S6
_chemical_formula_sum 'Tm3 Hf3 Sc6 S18'
_cell_length_a 6.5138
_cell_length_b 6.5138
_cell_length_c 17.9349
_cell_angle_alpha 90.00
_cell_angle_beta 90.00
_cell_angle_gamma 120.00
_space_group_name_H-M_alt 'R 3'
_space_group_IT_number 146
_space_group_name_Hall 'R 3'
loop_
_atom_site_label
_atom_site_fract_x
_atom_site_fract_y
_atom_site_fract_z
Tm1 0.0000 0.0000 0.0000
Hf1 0.0000 0.0000 0.4951
Sc1 0.0000 0.0000 0.3075
Sc2 0.0000 0.0000 0.8093
S1 0.0141 0.7028 0.4031
S2 0.0182 0.3465 0.5674
# Formation energy from raw total energies = -1.799 eV per atom
# DOS(E_F) = 18.627 states/eV per cell

Entry 10:
# LiMgCu4, relaxed, DFT PBE
data_LiMgCu4
_chemical_formula_sum 'Li4 Mg4 Cu16'
_cell_length_a 6.9809
_cell_length_b 6.9809
_cell_length_c 6.9809
_cell_angle_alpha 90.00
_cell_angle_beta 90.00
_cell_angle_gamma 90.00
_space_group_name_H-M_alt 'F -4 3 m'
_space_group_IT_number 216
_space_group_name_Hall 'F -4 2 3'
loop_
_atom_site_label
_atom_site_fract_x
_atom_site_fract_y
_atom_site_fract_z
Li1 0.0000 0.0000 0.0000
Mg1 0.2500 0.2500 0.7500
Cu1 0.1251 0.1251 0.3749
# DOS(E_F) = 11.406 states/eV per cell
# DFT formation energy = -62.9 kJ/mol of formula units

Entry 11:
# Lu2TlGa, relaxed, DFT PBE
data_Lu2TlGa
_chemical_formula_sum 'Lu8 Tl4 Ga4'
_cell_length_a 7.2598
_cell_length_b 7.2598
_cell_length_c 7.2598
_cell_angle_alpha 90.00
_cell_angle_beta 90.00
_cell_angle_gamma 90.00
_space_group_name_H-M_alt 'F m -3 m'
_space_group_IT_number 225
_space_group_name_Hall '-F 4 2 3'
loop_
_atom_site_label
_atom_site_fract_x
_atom_site_fract_y
_atom_site_fract_z
Lu1 0.2500 0.2500 0.2500
Tl1 0.0000 0.0000 0.0000
Ga1 0.0000 0.0000 0.5000
# DOS(E_F) = 7.442 states/eV per cell
# DFT formation energy = -142.2 kJ/mol of formula units

Entry 12:
# PrSmHo2, relaxed, DFT PBE
data_PrSmHo2
_chemical_formula_sum 'Pr4 Sm4 Ho8'
_cell_length_a 8.0995
_cell_length_b 8.0995
_cell_length_c 8.0995
_cell_angle_alpha 90.00
_cell_angle_beta 90.00
_cell_angle_gamma 90.00
_space_group_name_H-M_alt 'F m -3 m'
_space_group_IT_number 225
_space_group_name_Hall '-F 4 2 3'
loop_
_atom_site_label
_atom_site_fract_x
_atom_site_fract_y
_atom_site_fract_z
Pr1 0.0000 0.0000 0.0000
Sm1 0.0000 0.0000 0.5000
Ho1 0.2500 0.2500 0.2500
# DOS(E_F) = 31.091 states/eV per cell
# DFT formation energy = 44.5 kJ/mol of formula units